(1)
This record from Alexandria describes crystalline Sc3CrRu4 at its relaxed geometry. The functional is GGA-PBE.

Unit cell a=3.134 b=3.134 c=12.754 alpha=90.00 beta=90.00 gamma=90.00
Each line ends with the local moment (μB).
Fractional coordinates of all 8 atoms:
Ru1 0.000 0.000 0.890  -0.18
Ru2 0.000 0.000 0.110  -0.18
Ru3 0.000 0.000 0.629  -0.05
Ru4 0.000 0.000 0.371  -0.05
Sc1 0.500 0.500 0.753  0.00
Sc2 0.500 0.500 0.247  0.00
Sc3 0.500 0.500 0.500  0.00
Cr1 0.500 0.500 0.000  1.45

Output
E_form	-0.373	eV per atom

***

(2)
This record from Alexandria describes crystalline Dy2Ga2GeRh5 at its relaxed geometry. The functional is GGA-PBE.

Unit cell a=3.524 b=9.748 c=9.748 alpha=90.00 beta=90.00 gamma=90.00
Fractional coordinates of all 20 atoms:
Rh1 0.500 0.067 0.800
Rh2 0.500 0.700 0.433
Rh3 0.500 0.933 0.200
Rh4 0.500 0.800 0.933
Rh5 0.500 0.300 0.567
Rh6 0.500 0.500 0.000
Rh7 0.500 0.200 0.067
Rh8 0.500 0.433 0.300
Rh9 0.500 0.567 0.700
Rh10 0.500 0.000 0.500
Ga1 0.000 0.126 0.626
Ga2 0.000 0.874 0.374
Ga3 0.000 0.374 0.126
Ga4 0.000 0.626 0.874
Dy1 0.000 0.827 0.673
Dy2 0.000 0.673 0.173
Dy3 0.000 0.173 0.327
Dy4 0.000 0.327 0.827
Ge1 0.000 0.500 0.500
Ge2 0.000 0.000 0.000

Output
E_form	-0.795	eV per atom

***

| no. | ρ (g/cm³) | M_tot (μB per cell) |
| --- | --- | --- |
| 1 | 7.8 | 1.02 |
| 2 | 10.4 | 0.00 |